Entry 1:
Entry from Alexandria: an optimized crystal structure of Ag6Se2BrF2 (PBE).

For the theoretical density, the calculation gives 4.84 g/cm³. For the total energy, the calculation gives -33.98 eV/f.u. As for the space group: No. 2.

abc: 7.584 7.615 7.618
angles: 92.12 119.64 117.84
Fractional coordinates of all 11 atoms:
Ag1 0.129 0.205 0.487
Ag2 0.282 0.794 0.922
Ag3 0.366 0.492 0.126
Ag4 0.634 0.508 0.874
Ag5 0.718 0.206 0.078
Ag6 0.871 0.795 0.513
Se1 0.310 0.179 0.867
Se2 0.690 0.821 0.133
Br1 0.000 0.500 0.500
F1 0.100 0.284 0.186
F2 0.900 0.716 0.814


Entry 2:
Entry from Alexandria: an optimized crystal structure of Zn2TeW (PBE).

For the theoretical density, the calculation gives 10.41 g/cm³. For the total energy, the calculation gives -16.01 eV/f.u. As for the space group: No. 47.

abc: 3.450 4.498 4.545
angles: 90.00 90.00 90.00
Fractional coordinates of all 4 atoms:
Zn1 0.000 0.000 0.000
Zn2 0.500 0.000 0.500
Te1 0.000 0.500 0.500
W1 0.500 0.500 0.000


Entry 3:
Entry from Alexandria: an optimized crystal structure of Er3TlCo (PBE).

As for the calculated formation energy: -0.217 eV per atom. For the theoretical density, the calculation gives 10.09 g/cm³. The calculation puts the distance to the lowest polymorph of the same formula at 2 meV/atom. For the total energy, the calculation gives -24.24 eV/f.u. As for the space group: No. 12.

abc: 5.913 5.913 8.792
angles: 111.87 111.87 66.06
Fractional coordinates of all 10 atoms:
Er1 0.026 0.026 0.216
Er2 0.306 0.306 0.698
Er3 0.315 0.315 0.120
Er4 0.685 0.685 0.880
Er5 0.694 0.694 0.302
Er6 0.974 0.974 0.784
Tl1 0.273 0.727 0.500
Tl2 0.727 0.273 0.500
Co1 0.306 0.694 0.000
Co2 0.694 0.306 0.000


Entry 4:
Entry from Alexandria: an optimized crystal structure of Be2CdPb (PBE).

As for the calculated formation energy: 0.753 eV per atom. For the theoretical density, the calculation gives 7.72 g/cm³. The calculation puts the distance to the lowest polymorph of the same formula at 349 meV/atom. For the total energy, the calculation gives -9.06 eV/f.u. As for the space group: No. 139.

abc: 4.975 4.975 4.975
angles: 128.88 128.88 75.21
Fractional coordinates of all 4 atoms:
Be1 0.250 0.750 0.500
Be2 0.750 0.250 0.500
Cd1 0.000 0.000 0.000
Pb1 0.500 0.500 0.000


Entry 5:
Entry from Alexandria: an optimized crystal structure of InBCl2 (PBE).

For the theoretical density, the calculation gives 3.00 g/cm³. The calculation puts the distance to the lowest polymorph of the same formula at 154 meV/atom. For the total energy, the calculation gives -11.62 eV/f.u. As for the space group: No. 141.

abc: 6.754 6.754 6.754
angles: 120.18 120.18 89.69
Fractional coordinates of all 8 atoms:
In1 0.375 0.625 0.750
In2 0.625 0.375 0.250
B1 0.125 0.875 0.250
B2 0.875 0.125 0.750
Cl1 0.000 0.000 0.000
Cl2 0.000 0.000 0.500
Cl3 0.000 0.500 0.000
Cl4 0.500 0.000 0.500


Entry 6:
Entry from Alexandria: an optimized crystal structure of ZnSe3 (PBE).

For the theoretical density, the calculation gives 5.26 g/cm³. For the total energy, the calculation gives -11.81 eV/f.u. As for the space group: No. 44.

abc: 6.190 6.190 6.190
angles: 144.08 57.90 136.18
Fractional coordinates of all 4 atoms:
Zn1 0.000 0.000 0.000
Se1 0.422 0.922 0.500
Se2 0.648 0.305 0.343
Se3 0.963 0.305 0.657